This record from Alexandria describes Rb2LiTlF6 after structural relaxation. The functional is GGA-PBE.

abc: 6.128 6.128 6.128
angles: 60.00 60.00 60.00
Element x y z (fractional)
F 0.746 0.254 0.746
F 0.254 0.254 0.746
Li 0.500 0.500 0.500
Rb 0.750 0.750 0.750
F 0.254 0.746 0.254
F 0.746 0.254 0.254
Tl 0.000 0.000 0.000
F 0.254 0.746 0.746
Rb 0.250 0.250 0.250
F 0.746 0.746 0.254

This record from Alexandria describes RbLiTl2F4 after structural relaxation. The functional is GGA-PBE.

abc: 7.634 7.634 7.588
angles: 118.88 118.88 89.57
Element x y z (fractional)
Li 0.500 0.500 0.500
F 0.822 0.179 0.002
F 0.241 0.239 0.983
F 0.178 0.821 0.998
F 0.759 0.761 0.017
Tl 0.500 0.000 0.000
F 0.679 0.322 0.502
Li 0.000 0.000 0.000
Tl 0.500 0.000 0.500
F 0.261 0.259 0.517
Tl 0.000 0.000 0.500
Tl 0.500 0.500 0.000
Rb 0.000 0.500 0.500
F 0.321 0.678 0.498
Rb 0.000 0.500 0.000
F 0.739 0.741 0.483

This record from Alexandria describes RbLiTl2F8 after structural relaxation. The functional is GGA-PBE.

abc: 5.234 5.478 7.249
angles: 89.96 89.95 83.86
Element x y z (fractional)
F 0.185 0.772 0.201
Li 0.000 0.000 0.000
Tl 0.500 0.500 0.235
F 0.676 0.701 0.000
F 0.632 0.686 0.500
F 0.815 0.228 0.201
Rb 0.000 0.000 0.500
Tl 0.500 0.500 0.765
F 0.368 0.314 0.500
F 0.815 0.228 0.799
F 0.185 0.772 0.799
F 0.324 0.299 0.000

This record from Alexandria describes Rb2LiTl3F12 after structural relaxation. The functional is GGA-PBE.

abc: 7.723 7.723 7.723
angles: 63.52 63.52 63.52
Element x y z (fractional)
F 0.661 0.661 0.057
F 0.339 0.943 0.339
F 0.066 0.694 0.066
Tl 0.000 0.500 0.000
F 0.066 0.066 0.694
F 0.943 0.339 0.339
F 0.057 0.661 0.661
Tl 0.500 0.000 0.000
F 0.934 0.306 0.934
F 0.306 0.934 0.934
F 0.694 0.066 0.066
Rb 0.651 0.651 0.651
F 0.661 0.057 0.661
F 0.339 0.339 0.943
Rb 0.349 0.349 0.349
F 0.934 0.934 0.306
Tl 0.000 0.000 0.500
Li 0.000 0.000 0.000

| no. | E_form (uncorrected) (eV per atom) |
| --- | --- |
| 1 | -2.481 |
| 2 | -2.146 |
| 3 | -2.143 |
| 4 | -2.177 |